FeOs2W: optimized geometry, PBE.

The value obtained for the electronic total energy is -0.7997 Ry/atom. The value obtained for the energy relative to the elements is 0.0886 eV/atom. The density of states at the Fermi level comes out at 4.3 states/eV/cell. The polymorph energy (0 for the lowest one) is 18 kJ/mol of formula units.

POSCAR file:
```
FeOs2W
1.0
4.662 -0.043 0.000
1.503 4.413 0.000
-3.083 -2.185 2.731
Fe Os W
1 2 1
Direct
0.750 0.250 0.500
0.000 0.000 0.000
0.500 0.500 0.000
0.250 0.750 0.500
```

=====

FeOs2W: optimized geometry, PBE.

The value obtained for the electronic total energy is -0.7907 Ry/atom. The value obtained for the energy relative to the elements is 0.2106 eV/atom. The density of states at the Fermi level comes out at 4.0 states/eV/cell. The polymorph energy (0 for the lowest one) is 65 kJ/mol of formula units.

POSCAR file:
```
FeOs2W
1.0
4.133 0.000 0.000
0.000 2.710 -0.002
0.000 1.546 5.133
Fe Os W
1 2 1
Direct
0.500 0.750 0.750
0.000 0.899 0.984
0.000 0.601 0.516
0.500 0.250 0.250
```

=====

FeOs2W: optimized geometry, PBE.

The value obtained for the electronic total energy is -0.7974 Ry/atom. The value obtained for the energy relative to the elements is 0.1201 eV/atom. The density of states at the Fermi level comes out at 3.6 states/eV/cell. The polymorph energy (0 for the lowest one) is 30 kJ/mol of formula units.

POSCAR file:
```
FeOs2W
1.0
4.623 -0.005 0.003
3.815 2.612 0.003
0.774 0.239 4.688
Fe Os W
1 2 1
Direct
0.750 0.750 0.750
0.003 0.003 0.981
0.497 0.497 0.519
0.250 0.250 0.250
```

=====

FeOs2W: optimized geometry, PBE.

The value obtained for the electronic total energy is -0.7959 Ry/atom. The value obtained for the energy relative to the elements is 0.1403 eV/atom. The density of states at the Fermi level comes out at 3.6 states/eV/cell. The polymorph energy (0 for the lowest one) is 38 kJ/mol of formula units.

POSCAR file:
```
FeOs2W
1.0
-1.053 0.074 -4.582
1.632 -0.444 -4.387
-0.832 -4.560 -0.669
Fe Os W
1 2 1
Direct
0.748 0.748 0.756
0.997 0.997 0.006
0.254 0.254 0.232
0.501 0.501 0.507
```

=====

Fe2OsW: optimized geometry, PBE.

The value obtained for the electronic total energy is -0.7478 Ry/atom. The value obtained for the energy relative to the elements is 0.1022 eV/atom. The density of states at the Fermi level comes out at 3.4 states/eV/cell.

POSCAR file:
```
Fe2OsW
1.0
4.925 0.000 0.004
2.183 4.415 -0.004
-3.140 -2.874 2.477
Fe Os W
2 1 1
Direct
0.993 0.993 0.000
0.760 0.260 0.500
0.504 0.504 0.000
0.244 0.744 0.500
```

=====

Fe2OsW: optimized geometry, PBE.

The value obtained for the electronic total energy is -0.7358 Ry/atom. The value obtained for the energy relative to the elements is 0.2656 eV/atom. The density of states at the Fermi level comes out at 4.5 states/eV/cell.

POSCAR file:
```
Fe2OsW
1.0
8.766 0.013 0.007
8.353 2.659 0.007
8.353 1.304 2.318
Fe Os W
2 1 1
Direct
0.998 0.998 0.998
0.502 0.502 0.502
0.250 0.250 0.250
0.750 0.750 0.750
```

=====

Fe2OsW: optimized geometry, PBE.

The value obtained for the electronic total energy is -0.7415 Ry/atom. The value obtained for the energy relative to the elements is 0.1886 eV/atom. The density of states at the Fermi level comes out at 4.7 states/eV/cell.

POSCAR file:
```
Fe2OsW
1.0
-2.212 -0.533 -1.475
-2.130 -1.628 3.782
-2.935 2.807 3.386
Fe Os W
2 1 1
Direct
0.000 0.000 0.000
0.500 0.500 0.000
0.500 0.500 0.500
0.000 0.000 0.500
```

=====

FeOs2W: optimized geometry, PBE.

The value obtained for the electronic total energy is -0.7781 Ry/atom. The value obtained for the energy relative to the elements is 0.3823 eV/atom. The density of states at the Fermi level comes out at 5.2 states/eV/cell. The polymorph energy (0 for the lowest one) is 131 kJ/mol of formula units.

POSCAR file:
```
FeOs2W
1.0
-3.414 1.649 -2.103
0.030 0.242 -4.329
-2.570 -2.597 -2.335
Fe Os W
1 2 1
Direct
0.500 0.500 0.500
0.000 0.000 0.000
0.250 0.250 0.250
0.750 0.750 0.750
```